Material: SnGe2Mo
Method: DFT, GGA-PBEsol
State: optimized geometry

abc: 4.6509 4.6509 4.6509
angles: 60.00 60.00 60.00
Element x y z (fractional)
Sn 0.0000 0.0000 0.0000
Ge 0.2500 0.2500 0.2500
Ge 0.7500 0.7500 0.7500
Mo 0.5000 0.5000 0.5000

Calculated values
V in Å³/f.u.: 71.1
Density of states at the Fermi level in states/eV per cell: 3.9
DFT formation energy in meV/atom: 543
Mass density in g/cm3: 8.40
Crystal system: cubic

=====

Material: Sr3GeMo
Method: DFT, GGA-PBEsol
State: optimized geometry

abc: 5.9615 5.9615 5.9615
angles: 90.00 90.00 90.00
Element x y z (fractional)
Sr 0.0000 0.0000 0.5000
Sr 0.0000 0.5000 0.0000
Sr 0.5000 0.0000 0.0000
Ge 0.0000 0.0000 0.0000
Mo 0.5000 0.5000 0.5000

Calculated values
V in Å³/f.u.: 211.9
Density of states at the Fermi level in states/eV per cell: 4.3
DFT formation energy in meV/atom: 790
Mass density in g/cm3: 3.38
Crystal system: cubic

=====

Material: TaTcGeMo2
Method: DFT, GGA-PBEsol
State: optimized geometry

abc: 4.6038 4.6038 4.7524
angles: 90.00 90.00 90.00
Element x y z (fractional)
Ta 0.0000 0.0000 0.0000
Tc 0.0000 0.0000 0.5000
Ge 0.5000 0.5000 0.0000
Mo 0.0000 0.5000 0.5000
Mo 0.5000 0.0000 0.5000

Calculated values
V in Å³/f.u.: 100.7
Density of states at the Fermi level in states/eV per cell: 5.8
DFT formation energy in meV/atom: 1502
Mass density in g/cm3: 8.96
Crystal system: tetragonal

=====

Material: TcGe3Mo
Method: DFT, GGA-PBEsol
State: optimized geometry

abc: 4.7706 4.7706 4.7706
angles: 90.00 90.00 90.00
Element x y z (fractional)
Tc 0.0000 0.0000 0.0000
Ge 0.0000 0.5000 0.5000
Ge 0.5000 0.0000 0.5000
Ge 0.5000 0.5000 0.0000
Mo 0.5000 0.5000 0.5000

Calculated values
V in Å³/f.u.: 108.6
Density of states at the Fermi level in states/eV per cell: 3.6
DFT formation energy in meV/atom: 1209
Mass density in g/cm3: 6.30
Crystal system: cubic